Compound: Cs2AlCd
Source: Alexandria via LeMat-Bulk
Functional: PBE-GGA
Structure: optimized geometry

extended XYZ file:
```
4
Lattice="0.000 4.654 4.654 4.654 0.000 4.654 4.654 4.654 0.000" Properties=species:S:1:pos:R:3 pbc="T T T"
Cs 2.327 2.327 2.327
Cs 6.982 6.982 6.982
Al 0.000 0.000 0.000
Cd 4.654 4.654 4.654
```

- Energy of formation: 36 kJ/mol of atoms
- ΔE to the lowest computed polymorph: 0 meV/atom


Compound: Pm8NiRh3I4
Source: Alexandria via LeMat-Bulk
Functional: PBE-GGA
Structure: optimized geometry

extended XYZ file:
```
16
Lattice="4.149 2.395 8.089 -4.149 2.395 8.089 0.000 -4.791 8.089" Properties=species:S:1:pos:R:3 pbc="T T T"
Pm 0.000 0.000 5.553
Pm -2.052 -1.185 13.612
Pm 0.000 -2.370 10.653
Pm -2.052 1.185 10.653
Pm 2.052 -1.185 13.612
Pm 0.000 2.370 13.612
Pm 2.052 1.185 10.653
Pm 0.000 0.000 18.713
Ni 0.000 0.000 12.133
Rh -4.149 0.000 12.133
Rh -2.074 1.198 4.044
Rh 2.074 1.198 4.044
I 0.000 0.000 0.000
I -2.074 -1.198 8.089
I -2.074 1.198 16.177
I 0.000 2.395 8.089
```

- Raw formation energy: -0.882 eV/atom


Compound: TiTeS3
Source: Alexandria via LeMat-Bulk
Functional: PBE-GGA
Structure: optimized geometry

extended XYZ file:
```
10
Lattice="6.079 -2.319 0.000 6.079 2.319 0.000 -1.657 0.000 7.570" Properties=species:S:1:pos:R:3 pbc="T T T"
Ti 1.092 0.000 3.348
Ti 9.409 0.000 4.221
Te 4.664 0.000 0.487
Te 5.837 0.000 7.083
S -0.392 0.000 5.324
S 1.726 0.000 0.970
S 3.351 0.000 4.257
S 7.150 0.000 3.313
S 8.775 0.000 6.600
S 10.892 0.000 2.246
```

- Raw formation energy: -0.593 eV/atom
- ΔE to the lowest computed polymorph: 0 meV/atom


Compound: MnMoN2
Source: Alexandria via LeMat-Bulk
Functional: PBE-GGA
Structure: optimized geometry

extended XYZ file:
```
8
Lattice="2.863 0.000 0.000 -1.432 2.480 0.000 0.000 0.000 10.674" Properties=species:S:1:pos:R:3 pbc="T T T"
Mn 0.000 0.000 0.000
Mn 0.000 0.000 5.337
Mo 0.000 0.000 2.669
Mo 0.000 0.000 8.006
N 0.000 1.653 1.295
N 0.000 1.653 4.042
N 1.432 0.827 6.632
N 1.432 0.827 9.380
```

- Raw formation energy: -0.347 eV/atom


Compound: TbPrTeO6
Source: Alexandria via LeMat-Bulk
Functional: PBE-GGA
Structure: optimized geometry

extended XYZ file:
```
18
Lattice="5.632 0.000 0.000 -2.816 4.877 0.000 0.000 0.000 9.904" Properties=species:S:1:pos:R:3 pbc="T T T"
Tb 0.000 3.252 2.476
Tb 2.816 1.626 7.428
Pr 0.000 0.000 0.000
Pr 0.000 0.000 4.952
Te 0.000 3.252 7.428
Te 2.816 1.626 2.476
O -0.822 1.854 6.327
O -1.621 3.239 8.530
O 0.822 1.854 8.530
O -0.799 4.662 6.327
O 2.017 0.215 1.374
O 1.195 1.639 3.578
O 1.621 3.239 6.327
O 0.799 4.662 8.530
O 3.615 0.215 3.578
O 1.994 3.024 1.374
O 4.437 1.639 1.374
O 3.638 3.024 3.578
```

- Raw formation energy: -2.420 eV/atom


Compound: Sm9DyY2
Source: Alexandria via LeMat-Bulk
Functional: PBE-GGA
Structure: optimized geometry

extended XYZ file:
```
12
Lattice="5.106 0.000 0.000 0.000 5.106 0.000 0.000 0.000 15.321" Properties=species:S:1:pos:R:3 pbc="T T T"
Sm 0.000 0.000 0.000
Sm 0.000 0.000 5.103
Sm 0.000 0.000 10.218
Sm 0.000 2.553 2.543
Sm 0.000 2.553 7.660
Sm 0.000 2.553 12.778
Sm 2.553 0.000 2.543
Sm 2.553 0.000 7.660
Sm 2.553 0.000 12.778
Dy 2.553 2.553 0.000
Y 2.553 2.553 5.103
Y 2.553 2.553 10.217
```

- Energy of formation: 2 kJ/mol of atoms


Compound: LaCr2Ru
Source: Alexandria via LeMat-Bulk
Functional: PBE-GGA
Structure: optimized geometry

extended XYZ file:
```
4
Lattice="4.678 0.000 0.000 0.000 4.678 0.000 0.000 0.000 3.069" Properties=species:S:1:pos:R:3 pbc="T T T"
La 0.000 0.000 0.000
Cr 0.000 2.339 1.534
Cr 2.339 0.000 1.534
Ru 2.339 2.339 0.000
```

- Energy of formation: 69 kJ/mol of atoms
- ΔE to the lowest computed polymorph: 405 meV/atom


Compound: GaPIrO2
Source: Alexandria via LeMat-Bulk
Functional: PBE-GGA
Structure: optimized geometry

extended XYZ file:
```
5
Lattice="3.516 0.000 0.000 0.000 3.516 0.000 0.000 0.000 8.187" Properties=species:S:1:pos:R:3 pbc="T T T"
Ga 0.000 0.000 0.000
P 0.000 0.000 4.094
Ir 1.758 1.758 4.094
O 0.000 1.758 0.000
O 1.758 0.000 0.000
```

- Raw formation energy: 0.036 eV/atom
- ΔE to the lowest computed polymorph: 247 meV/atom


no.,uncorrected energy (eV for the cell shown)
1,-4.890
2,-86.149
3,-52.772
4,-76.082
5,-128.160
6,-59.790
7,-30.580
8,-27.036